Entry 1:
A plane-wave DFT calculation with PBE was carried out for Li2HfPd4 after structural relaxation.

a b c (Å): 5.298 5.298 5.298
angles (deg): 112.23 108.11 108.11
Fractional coordinates of all 7 atoms:
Pd  0.000  0.000  0.500
Hf  0.000  0.000  0.000
Li  0.500  0.500  0.000
Pd  0.500  0.500  0.500
Pd  0.000  0.500  0.000
Pd  0.500  0.000  0.000
Li  0.500  0.000  0.500

Results
M_tot	0.00	μB/f.u.
symmetry	I4/mmm
uncorrected energy	-5.327	eV/atom
E above lowest polymorph	0.161	eV/atom

***

Entry 2:
A plane-wave DFT calculation with PBE was carried out for LiHf2Pd4 after structural relaxation.

a b c (Å): 4.170 4.170 7.572
angles (deg): 74.02 74.02 90.00
Fractional coordinates of all 7 atoms:
Li  0.000  0.000  0.000
Hf  0.650  0.650  0.699
Hf  0.350  0.350  0.301
Pd  0.500  0.000  0.000
Pd  0.164  0.164  0.673
Pd  0.836  0.836  0.327
Pd  0.000  0.500  0.000

Results
M_tot	0.00	μB/f.u.
symmetry	I4/mmm
uncorrected energy	-6.283	eV/atom
E above lowest polymorph	0.318	eV/atom

***

Entry 3:
A plane-wave DFT calculation with PBE was carried out for LiHf2Pd after structural relaxation.

a b c (Å): 7.531 7.531 6.029
angles (deg): 51.35 51.35 90.00
Fractional coordinates of all 8 atoms:
Hf  0.875  0.903  0.750
Hf  0.653  0.125  0.250
Pd  0.000  0.000  0.000
Pd  0.750  0.250  0.500
Hf  0.375  0.347  0.750
Li  0.250  0.750  0.500
Hf  0.097  0.625  0.250
Li  0.500  0.500  0.000

Results
M_tot	0.00	μB/f.u.
symmetry	I-42d
uncorrected energy	-6.604	eV/atom

***

Entry 4:
A plane-wave DFT calculation with PBE was carried out for LiHf3Pd after structural relaxation.

a b c (Å): 5.065 5.065 5.065
angles (deg): 90.00 90.00 90.00
Site moments in Bohr magnetons follow the coordinates.
Fractional coordinates of all 5 atoms:
Li  0.500  0.500  0.500  0.03
Hf  0.000  0.000  0.500  0.12
Hf  0.000  0.500  0.000  0.21
Hf  0.500  0.000  0.000  0.38
Pd  0.000  0.000  0.000  0.04

Results
M_tot	1.52	μB/f.u.
symmetry	Pm-3m
uncorrected energy	-6.789	eV/atom
E above lowest polymorph	0.000	eV/atom